Computed, not measured: CdGeN2O after structural relaxation at the PBE level of DFT.

Geometry as POSCAR:
```
CdGeN2O
1.0
-1.8596 0.1231 -3.4033
-1.1114 -3.6872 0.4739
-3.1917 1.1918 1.7871
N Ge Cd O
2 1 1 1
direct
0.0000 0.5000 0.0000 N
0.5000 0.0000 0.0000 N
0.0000 0.0000 0.0000 Ge
0.5000 0.5000 0.5000 Cd
0.0000 0.0000 0.5000 O
```

Crystal system ... tetragonal
Space-group type ... P4/mmm
Calculated total energy ... -4.86 eV per atom

Computed, not measured: LiZr2W after structural relaxation at the PBE level of DFT.

Geometry as POSCAR:
```
LiZr2W
1.0
7.2853 0.0000 0.0000
0.0000 7.2853 0.0000
3.6426 3.6426 2.8974
Li Zr W
2 4 2
direct
0.2500 0.7500 0.5000 Li
0.5000 0.5000 0.0000 Li
0.8750 0.8638 0.7500 Zr
0.1362 0.6250 0.2500 Zr
0.6138 0.1250 0.2500 Zr
0.3750 0.3862 0.7500 Zr
0.7500 0.2500 0.5000 W
0.0000 0.0000 0.0000 W
```

Crystal system ... tetragonal
Energy relative to the elements ... 642 meV per atom
Space-group type ... I-42d
Calculated total energy ... -7.35 eV per atom